# Cd24Hg5 | Alexandria via LeMat-Bulk | PBE | relaxed
data_Cd24Hg5
_symmetry_space_group_name_H-M 'P 1'
_symmetry_Int_Tables_number 1
_symmetry_space_group_name_Hall 'P 1'
_cell_length_a 9.623
_cell_length_b 9.623
_cell_length_c 9.623
_cell_angle_alpha 109.47
_cell_angle_beta 109.47
_cell_angle_gamma 109.47
loop_
_atom_site_label
_atom_site_type_symbol
_atom_site_fract_x
_atom_site_fract_y
_atom_site_fract_z
Cd1 Cd 0.000 0.190 0.386
Cd2 Cd 0.000 0.386 0.190
Cd3 Cd 0.000 0.422 0.690
Cd4 Cd 0.000 0.690 0.422
Cd5 Cd 0.190 0.000 0.386
Cd6 Cd 0.190 0.386 0.000
Cd7 Cd 0.196 0.810 0.810
Cd8 Cd 0.268 0.578 0.578
Cd9 Cd 0.310 0.310 0.732
Cd10 Cd 0.310 0.732 0.310
Cd11 Cd 0.386 0.000 0.190
Cd12 Cd 0.386 0.190 0.000
Cd13 Cd 0.422 0.000 0.690
Cd14 Cd 0.422 0.690 0.000
Cd15 Cd 0.578 0.268 0.578
Cd16 Cd 0.578 0.578 0.268
Cd17 Cd 0.614 0.614 0.804
Cd18 Cd 0.614 0.804 0.614
Cd19 Cd 0.690 0.000 0.422
Cd20 Cd 0.690 0.422 0.000
Cd21 Cd 0.732 0.310 0.310
Cd22 Cd 0.804 0.614 0.614
Cd23 Cd 0.810 0.196 0.810
Cd24 Cd 0.810 0.810 0.196
Hg1 Hg 0.000 0.000 0.000
Hg2 Hg 0.000 0.000 0.669
Hg3 Hg 0.000 0.669 0.000
Hg4 Hg 0.331 0.331 0.331
Hg5 Hg 0.669 0.000 0.000
# Crystal system   cubic
# Energy of formation from the pure elements   44 meV per atom
# DFT total energy   -22.21 eV per cell